Below is a crystal of NbAs2 relaxed with PBEsol, with properties calculated at the meta-GGA SCAN level.

Results
The space group is C2/m (12). For the total energy, the calculation gives -25.10 eV/atom. The energy of formation comes out at -1.8 eV/f.u.

Unit cell a=9.3481 b=3.3643 c=7.7849 alpha=90.00 beta=119.37 gamma=90.00
Closest atoms and distances in Å follow each position.
Element x y z (fractional)
Nb: 0.1569 0.0000 0.1959  8 As 2.65-2.72
Nb: 0.3431 0.5000 0.8041  8 As 2.65-2.72
Nb: 0.6569 0.5000 0.1959  8 As 2.65-2.72
Nb: 0.8431 0.0000 0.8041  8 As 2.65-2.72
As: 0.0951 0.5000 0.8918  5 Nb 2.70-2.72, 1 As 2.99
As: 0.1411 0.0000 0.5283  1 As 2.45, 3 Nb 2.65-2.66
As: 0.3589 0.5000 0.4717  1 As 2.45, 3 Nb 2.65-2.66
As: 0.4049 0.0000 0.1082  5 Nb 2.70-2.72, 1 As 2.99
As: 0.5951 0.0000 0.8918  5 Nb 2.70-2.72, 1 As 2.99
As: 0.6411 0.5000 0.5283  1 As 2.45, 3 Nb 2.65-2.66
As: 0.8589 0.0000 0.4717  1 As 2.45, 3 Nb 2.65-2.66
As: 0.9049 0.5000 0.1082  5 Nb 2.70-2.72, 1 As 2.99